Compound: LiZnIn2Ru
Source: the Alexandria database
Functional: PBE
Structure: relaxed

Cell: 5.0101 4.7714 5.0101 Å, 90.00 90.00 90.00°
Last column: nearest neighbours and their distance in Å.
Positions (direct):
Ru (0.0000, 0.5000, 0.0000)  2 Zn 2.39
Zn (0.0000, 0.0000, 0.0000)  2 Ru 2.39, 4 In 2.51
Li (0.5000, 0.5000, 0.5000)  8 In 3.46, 4 Ru 3.54
In (0.0000, 0.0000, 0.5000)  2 Zn 2.51
In (0.5000, 0.0000, 0.0000)  2 Zn 2.51

Summary:
E_form = 680 meV per atom

Compound: Li2ZrInRu
Source: the Alexandria database
Functional: PBE
Structure: relaxed

Cell: 4.7402 4.8272 4.7402 Å, 90.00 90.00 90.00°
Last column: nearest neighbours and their distance in Å.
Positions (direct):
Ru (0.0000, 0.0000, 0.0000)  4 Li 2.37, 2 Zr 2.41
Li (0.0000, 0.0000, 0.5000)  2 Ru 2.37
Li (0.5000, 0.0000, 0.0000)  2 Ru 2.37
Zr (0.0000, 0.5000, 0.0000)  2 Ru 2.41
In (0.5000, 0.5000, 0.5000)  4 Zr 3.35, 8 Li 3.38

Summary:
E_form = 343 meV per atom

Compound: LiInS
Source: the Alexandria database
Functional: PBE
Structure: relaxed

Cell: 3.9941 3.9941 29.1708 Å, 90.00 90.00 120.00°
Last column: nearest neighbours and their distance in Å.
Positions (direct):
Li (0.0000, 0.0000, 0.8286)  4 S 2.43-2.49
Li (0.3333, 0.6667, 0.4953)  4 S 2.43-2.49
Li (0.6667, 0.3333, 0.1620)  4 S 2.43-2.49
Li (0.0000, 0.0000, 0.1066)  4 S 2.45-2.56
Li (0.3333, 0.6667, 0.7733)  4 S 2.45-2.56
Li (0.6667, 0.3333, 0.4400)  4 S 2.45-2.56
In (0.0000, 0.0000, 0.3515)  3 S 2.90
In (0.3333, 0.6667, 0.0182)  3 S 2.90
In (0.6667, 0.3333, 0.6848)  3 S 2.90
In (0.0000, 0.0000, 0.9243)  1 Li 2.79, 3 S 2.95
In (0.3333, 0.6667, 0.5910)  1 Li 2.79, 3 S 2.95
In (0.6667, 0.3333, 0.2576)  1 Li 2.79, 3 S 2.95
S (0.0000, 0.0000, 0.1946)  4 Li 2.49-2.56
S (0.3333, 0.6667, 0.8612)  4 Li 2.49-2.56
S (0.6667, 0.3333, 0.5279)  4 Li 2.49-2.56
S (0.0000, 0.0000, 0.7452)  4 Li 2.43-2.45
S (0.3333, 0.6667, 0.4119)  4 Li 2.43-2.45
S (0.6667, 0.3333, 0.0786)  4 Li 2.43-2.45

Summary:
energy relative to the elements, uncorrected = -739 meV/atom
energy above the most stable polymorph in this dataset = 40.7 meV per atom

Compound: LiInS3
Source: the Alexandria database
Functional: PBE
Structure: relaxed

Cell: 5.0545 5.0545 5.0545 Å, 90.00 90.00 90.00°
Last column: nearest neighbours and their distance in Å.
Positions (direct):
S (0.0000, 0.5000, 0.0000)  2 In 2.53
S (0.0000, 0.0000, 0.5000)  2 In 2.53
S (0.5000, 0.0000, 0.0000)  2 In 2.53
Li (0.5000, 0.5000, 0.5000)  12 S 3.57
In (0.0000, 0.0000, 0.0000)  6 S 2.53

Summary:
energy relative to the elements, uncorrected = 76 meV/atom
energy above the most stable polymorph in this dataset = 0.0 meV per atom

Repeat the second record exactly.
Compound: Li2ZrInRu
Source: the Alexandria database
Functional: PBE
Structure: relaxed

Cell: 4.7402 4.8272 4.7402 Å, 90.00 90.00 90.00°
Last column: nearest neighbours and their distance in Å.
Positions (direct):
Ru (0.0000, 0.0000, 0.0000)  4 Li 2.37, 2 Zr 2.41
Li (0.0000, 0.0000, 0.5000)  2 Ru 2.37
Li (0.5000, 0.0000, 0.0000)  2 Ru 2.37
Zr (0.0000, 0.5000, 0.0000)  2 Ru 2.41
In (0.5000, 0.5000, 0.5000)  4 Zr 3.35, 8 Li 3.38

Summary:
E_form = 343 meV per atom